# PuTh2Rh | Alexandria | PBE | optimized geometry
# total DFT energy (no corrections) = -9.414 eV per atom
# ΔH_f (0 K) = -1.1 eV per formula unit
# energy above the most stable polymorph in this dataset = 0.000 eV per atom
data_PuTh2Rh
_cell_length_a 3.632
_cell_length_b 3.632
_cell_length_c 7.722
_cell_angle_alpha 90.00
_cell_angle_beta 90.00
_cell_angle_gamma 90.00
_symmetry_space_group_name_H-M 'P 1'
_symmetry_Int_Tables_number 1
_symmetry_space_group_name_Hall 'P 1'
loop_
_atom_site_label
_atom_site_fract_x
_atom_site_fract_y
_atom_site_fract_z
Th1 0.000 0.000 0.220
Pu1 0.500 0.500 0.500
Rh1 0.500 0.500 0.000
Th2 0.000 0.000 0.780